DFT (meta-GGA SCAN) results for a crystal of SrAlSi2Rh relaxed with PBEsol.

Cell: 4.6109 4.7652 4.7652 Å, 90.00 90.00 90.00°
Element x y z (fractional)
Si  0.0000  0.5000  0.0000
Si  0.0000  0.0000  0.5000
Sr  0.5000  0.5000  0.5000
Rh  0.5000  0.0000  0.0000
Al  0.0000  0.0000  0.0000

SG: P4/mmm
Crystal system: tetragonal
Volume (Å³ per cell): 105
Formation energy from raw total energies (eV per atom): 0.23
D(E_F) (states/eV per cell): 2.61